#one
Density functional theory data (GGA-PBE) for an optimized crystal structure of Bi2IrCl2.

a = 9.8927 Å, b = 9.8927 Å, c = 9.8927 Å
α = 158.81°, β = 158.81°, γ = 30.15°
Last column: nearest neighbours and their distance in Å.
Fractional coordinates of all 5 atoms:
Bi1 0.0815 0.0815 0.0000  4 Ir 3.01, 1 Bi 3.12
Bi2 0.9185 0.9185 0.0000  4 Ir 3.01, 1 Bi 3.12
Ir1 0.5000 0.5000 0.0000  8 Bi 3.01
Cl1 0.2500 0.7500 0.5000  4 Cl 2.57
Cl2 0.7500 0.2500 0.5000  4 Cl 2.57

Calculated values
SG: I4/mmm, No. 139
Crystal system: tetragonal

#two
Density functional theory data (GGA-PBE) for an optimized crystal structure of Bi2IrCl2.

a = 7.1953 Å, b = 7.1953 Å, c = 5.4969 Å
α = 90.00°, β = 90.00°, γ = 90.00°
Last column: nearest neighbours and their distance in Å.
Fractional coordinates of all 10 atoms:
Bi1 0.1565 0.3435 0.0000  2 Ir 2.72, 2 Cl 2.76
Bi2 0.3435 0.8435 0.0000  2 Ir 2.72, 2 Cl 2.76
Bi3 0.6565 0.1565 0.0000  2 Ir 2.72, 2 Cl 2.76
Bi4 0.8435 0.6565 0.0000  2 Ir 2.72, 2 Cl 2.76
Ir1 0.0000 0.0000 0.0000  4 Bi 2.72
Ir2 0.5000 0.5000 0.0000  4 Bi 2.72
Cl1 0.1832 0.3168 0.5000  2 Bi 2.76
Cl2 0.3168 0.8168 0.5000  2 Bi 2.76
Cl3 0.6832 0.1832 0.5000  2 Bi 2.76
Cl4 0.8168 0.6832 0.5000  2 Bi 2.76

Calculated values
SG: P4/mbm, No. 127
Crystal system: tetragonal

It is #two that is most stable; the runner-up trails by 261 meV per atom.